Density functional theory data (GGA+U) for crystalline LiMnF3 at its relaxed geometry.

The structure belongs to space group P-3 (No. 147); the cell edges are 5.2710, 5.2710 and 15.4758 Å and the angles 90.00°, 90.00° and 120.00°. Symmetry generates all atoms from Li at (0.0000, 0.0000, 0.1712), Li at (0.0000, 0.0000, 0.3271), Li at (0.3333, 0.6667, 0.3581), Mn at (0.0000, 0.0000, 0.0000), Mn at (0.0000, 0.0000, 0.5000), Mn at (0.3333, 0.6667, 0.1557), Mn at (0.3333, 0.6667, 0.6734), F at (0.0060, 0.6933, 0.5927), F at (0.0143, 0.3000, 0.0972) and F at (0.0283, 0.6910, 0.2617).

As for the distance to the lowest polymorph of the same formula: 51 meV per atom. The value obtained for the calculated density is 3.2 Mg/m³. The value obtained for the calculated total energy is -5.72 eV per atom. The magnetic moment comes out at 5.00 μB per formula unit.